No. 1
First-principles (PBE) data for a relaxed structure of ReTe2W, as listed in the Alexandria database.

Unit cell a=3.974 b=3.868 c=6.767 alpha=87.52 beta=90.00 gamma=90.00
Fractional coordinates of all 4 atoms:
Te: 0.000 0.913 0.910
Te: 0.500 0.337 0.341
Re: 0.500 0.835 0.628
W: 0.000 0.415 0.621

- Density: 10.0 g cm⁻³
- Uncorrected energy: -7.59 eV per atom
- E above lowest polymorph: 0.10 kcal/mol of atoms
- SG: Pm (6)

=====

No. 2
First-principles (PBE) data for a relaxed structure of ReTeW4, as listed in the Alexandria database.

Unit cell a=5.315 b=5.315 c=5.315 alpha=60.00 beta=60.00 gamma=60.00
Fractional coordinates of all 6 atoms:
Re: 0.750 0.750 0.750
W: 0.877 0.374 0.374
W: 0.374 0.877 0.374
W: 0.374 0.374 0.374
W: 0.374 0.374 0.877
Te: 0.000 0.000 0.000

- Density: 16.4 g cm⁻³
- Uncorrected energy: -10.36 eV per atom
- SG: F-43m (216)